! YOsCl3 | the Alexandria database | PBE-GGA | optimized geometry; values from VASP
&SYSTEM
  ibrav = 0, nat = 5, ntyp = 3
/
ATOMIC_SPECIES
Y 88.91 Y.upf
Os 190.23 Os.upf
Cl 35.45 Cl.upf
CELL_PARAMETERS angstrom
5.314 0.000 0.000
0.000 5.314 0.000
0.000 0.000 5.314
ATOMIC_POSITIONS crystal
Y 0.000 0.000 0.000
Os 0.500 0.500 0.500
Cl 0.000 0.500 0.000
Cl 0.000 0.000 0.500
Cl 0.500 0.000 0.000
! Total magnetic moment, μB per atom: 0.8000
! Symmetry: No. 221
! Theoretical density, kg/m³: 4265
! Distance to the lowest polymorph of the same formula, kJ per mole of atoms: 0.0
! Final energy, eV/atom: -4.756
! Uncorrected formation energy, meV/atom: -109